The following is a DFT calculation (PBE-GGA) of an optimized crystal structure of Zr4NiPb.

```
Zr4NiPb
1.0
0.000 4.048 4.048
4.048 0.000 4.048
4.048 4.048 0.000
Zr Ni Pb
4 1 1
Direct
0.874 0.375 0.375
0.375 0.375 0.874
0.375 0.874 0.375
0.375 0.375 0.375
0.750 0.750 0.750
0.000 0.000 0.000
```

Properties
- Crystal system: cubic
- Volume: 22.11 Å³/atom
- Fermi-level density of states: 1.1246 states/eV per atom
- ρ: 7.89 g/cm3
- Energy of formation from the pure elements: 0.40 eV per atom

***

The following is a DFT calculation (PBE-GGA) of an optimized crystal structure of BeNiW.

```
BeNiW
1.0
5.014 0.000 -0.005
0.008 3.920 -0.002
-2.400 1.953 3.570
Be W Ni
2 2 2
Direct
0.044 0.683 0.662
0.947 0.966 0.098
0.404 0.005 0.019
0.587 0.644 0.741
0.782 0.281 0.464
0.209 0.367 0.295
```

Properties
- Crystal system: triclinic
- Volume: 11.69 Å³/atom
- Fermi-level density of states: 0.8204 states/eV per atom
- Energy above the lowest structure with this stoichiometry: 251.3 meV/atom
- ρ: 11.91 g/cm3
- Energy of formation from the pure elements: 0.01 eV per atom

***

Q: Look up the energy of formation from the pure elements of the first one.
A: 0.40 eV per atom

***

Q: volume of number 1 (Zr4NiPb)?
A: 22.11 Å³/atom